No. 1
A relaxed structure of BaNaLa2Pd, computed with PBE. Values from VASP.

Cell and atoms, written as Quantum ESPRESSO input:
```
&SYSTEM
  ibrav = 0, nat = 5, ntyp = 4
/
ATOMIC_SPECIES
Ba 137.33 Ba.upf
Na 22.99 Na.upf
La 138.91 La.upf
Pd 106.42 Pd.upf
CELL_PARAMETERS angstrom
5.7062 0.0000 0.0000
0.0000 5.7062 0.0000
0.0000 0.0000 6.0943
ATOMIC_POSITIONS angstrom
Ba 0.0000 0.0000 0.0000
Na 2.8531 2.8531 0.0000
La 0.0000 2.8531 3.0472
La 2.8531 0.0000 3.0472
Pd 2.8531 2.8531 3.0472
```

Computed properties:
The calculation puts the formation enthalpy at 0 K at -0.100 eV/atom. As for the electronic total energy: -3.758 eV/atom. The excess energy over the best structure of this formula in the dataset is 22 meV per atom.

No. 2
A relaxed structure of BaNaLa2Pd, computed with PBE. Values from VASP.

Cell and atoms, written as Quantum ESPRESSO input:
```
&SYSTEM
  ibrav = 0, nat = 5, ntyp = 4
/
ATOMIC_SPECIES
Ba 137.33 Ba.upf
Na 22.99 Na.upf
La 138.91 La.upf
Pd 106.42 Pd.upf
CELL_PARAMETERS angstrom
5.7308 0.0000 0.0000
0.0000 5.7308 0.0000
0.0000 0.0000 6.5422
ATOMIC_POSITIONS angstrom
Ba 0.0000 0.0000 0.0000
Na 2.8654 2.8654 0.0000
La 0.0000 2.8654 3.2711
La 2.8654 0.0000 3.2711
Pd 0.0000 0.0000 3.2711
```

Computed properties:
The calculation puts the formation enthalpy at 0 K at -0.122 eV/atom. As for the electronic total energy: -3.780 eV/atom. The excess energy over the best structure of this formula in the dataset is 0 meV per atom.

No. 3
A relaxed structure of Ba2NaLaPd, computed with PBE. Values from VASP.

Cell and atoms, written as Quantum ESPRESSO input:
```
&SYSTEM
  ibrav = 0, nat = 5, ntyp = 4
/
ATOMIC_SPECIES
Ba 137.33 Ba.upf
Na 22.99 Na.upf
La 138.91 La.upf
Pd 106.42 Pd.upf
CELL_PARAMETERS angstrom
6.1408 0.0000 0.0000
0.0000 6.1408 0.0000
0.0000 0.0000 5.6166
ATOMIC_POSITIONS angstrom
Ba 0.0000 3.0704 0.0000
Ba 3.0704 0.0000 0.0000
Na 0.0000 0.0000 2.8083
La 3.0704 3.0704 2.8083
Pd 0.0000 0.0000 0.0000
```

Computed properties:
The calculation puts the formation enthalpy at 0 K at 0.122 eV/atom. As for the electronic total energy: -2.935 eV/atom. The excess energy over the best structure of this formula in the dataset is 296 meV per atom.

No. 4
A relaxed structure of Ba2NaLaPd, computed with PBE. Values from VASP.

Cell and atoms, written as Quantum ESPRESSO input:
```
&SYSTEM
  ibrav = 0, nat = 5, ntyp = 4
/
ATOMIC_SPECIES
Ba 137.33 Ba.upf
Na 22.99 Na.upf
La 138.91 La.upf
Pd 106.42 Pd.upf
CELL_PARAMETERS angstrom
6.4816 0.0000 0.0000
0.0000 6.4816 0.0000
0.0000 0.0000 5.6224
ATOMIC_POSITIONS angstrom
Ba 0.0000 3.2408 0.0000
Ba 3.2408 0.0000 0.0000
Na 0.0000 0.0000 2.8112
La 3.2408 3.2408 2.8112
Pd 3.2408 3.2408 0.0000
```

Computed properties:
The calculation puts the formation enthalpy at 0 K at -0.175 eV/atom. As for the electronic total energy: -3.232 eV/atom. The excess energy over the best structure of this formula in the dataset is 0 meV per atom.

No. 5
A relaxed structure of Ba2NaLaPt, computed with PBE. Values from VASP.

Cell and atoms, written as Quantum ESPRESSO input:
```
&SYSTEM
  ibrav = 0, nat = 5, ntyp = 4
/
ATOMIC_SPECIES
Ba 137.33 Ba.upf
Na 22.99 Na.upf
La 138.91 La.upf
Pt 195.08 Pt.upf
CELL_PARAMETERS angstrom
6.4624 0.0000 0.0000
0.0000 6.4624 0.0000
0.0000 0.0000 5.5930
ATOMIC_POSITIONS angstrom
Ba 0.0000 3.2312 0.0000
Ba 3.2312 0.0000 0.0000
Na 0.0000 0.0000 2.7965
La 3.2312 3.2312 2.7965
Pt 3.2312 3.2312 0.0000
```

Computed properties:
The calculation puts the formation enthalpy at 0 K at -0.361 eV/atom. As for the electronic total energy: -3.587 eV/atom.

No. 6
A relaxed structure of BaNaLa2Pt, computed with PBE. Values from VASP.

Cell and atoms, written as Quantum ESPRESSO input:
```
&SYSTEM
  ibrav = 0, nat = 5, ntyp = 4
/
ATOMIC_SPECIES
Ba 137.33 Ba.upf
Na 22.99 Na.upf
La 138.91 La.upf
Pt 195.08 Pt.upf
CELL_PARAMETERS angstrom
5.7016 0.0000 0.0000
0.0000 5.7016 0.0000
0.0000 0.0000 6.0609
ATOMIC_POSITIONS angstrom
Ba 0.0000 0.0000 0.0000
Na 2.8508 2.8508 0.0000
La 0.0000 2.8508 3.0305
La 2.8508 0.0000 3.0305
Pt 2.8508 2.8508 3.0305
```

Computed properties:
The calculation puts the formation enthalpy at 0 K at -0.286 eV/atom. As for the electronic total energy: -4.113 eV/atom. The excess energy over the best structure of this formula in the dataset is 46 meV per atom.

No. 7
A relaxed structure of BaNaLa2Pt, computed with PBE. Values from VASP.

Cell and atoms, written as Quantum ESPRESSO input:
```
&SYSTEM
  ibrav = 0, nat = 5, ntyp = 4
/
ATOMIC_SPECIES
Ba 137.33 Ba.upf
Na 22.99 Na.upf
La 138.91 La.upf
Pt 195.08 Pt.upf
CELL_PARAMETERS angstrom
5.7211 0.0000 0.0000
0.0000 5.7211 0.0000
0.0000 0.0000 6.5338
ATOMIC_POSITIONS angstrom
Ba 0.0000 0.0000 0.0000
Na 2.8606 2.8606 0.0000
La 0.0000 2.8606 3.2669
La 2.8606 0.0000 3.2669
Pt 0.0000 0.0000 3.2669
```

Computed properties:
The calculation puts the formation enthalpy at 0 K at -0.332 eV/atom. As for the electronic total energy: -4.159 eV/atom. The excess energy over the best structure of this formula in the dataset is 0 meV per atom.

No. 8
A relaxed structure of BaNaLa2Rh, computed with PBE. Values from VASP.

Cell and atoms, written as Quantum ESPRESSO input:
```
&SYSTEM
  ibrav = 0, nat = 5, ntyp = 4
/
ATOMIC_SPECIES
Ba 137.33 Ba.upf
Na 22.99 Na.upf
La 138.91 La.upf
Rh 102.91 Rh.upf
CELL_PARAMETERS angstrom
5.5048 0.0000 0.0000
0.0000 5.5048 0.0000
0.0000 0.0000 6.2817
ATOMIC_POSITIONS angstrom
Ba 0.0000 0.0000 0.0000
Na 2.7524 2.7524 0.0000
La 0.0000 2.7524 3.1408
La 2.7524 0.0000 3.1408
Rh 2.7524 2.7524 3.1408
```

Computed properties:
The calculation puts the formation enthalpy at 0 K at -0.154 eV/atom. As for the electronic total energy: -4.244 eV/atom. The excess energy over the best structure of this formula in the dataset is 44 meV per atom.